Record 1
A geometry-optimized KRb3Be2F8 structure. Source: the Alexandria database, functional PBE.

The structure in CIF format:
```
data_KRb3Be2F8
_chemical_formula_sum 'K1 Rb3 Be2 F8'
_symmetry_space_group_name_H-M 'P -3 m 1'
_symmetry_Int_Tables_number 164
_symmetry_space_group_name_Hall '-P 3 2"'
_cell_length_a 6.0283
_cell_length_b 6.0283
_cell_length_c 7.8424
_cell_angle_alpha 90.00
_cell_angle_beta 90.00
_cell_angle_gamma 120.00
loop_
_atom_site_label
_atom_site_type_symbol
_atom_site_fract_x
_atom_site_fract_y
_atom_site_fract_z
K1 K 0.0000 0.0000 0.0000
Rb1 Rb 0.0000 0.0000 0.5000
Rb2 Rb 0.3333 0.6667 0.1857
Be1 Be 0.3333 0.6667 0.7223
F1 F 0.1920 0.3840 0.7954
F2 F 0.3333 0.6667 0.5263
```

Summary:
- V (A^3/atom) = 17.63
- E (eV/cell) = -69.24



Record 2
A geometry-optimized KRbBe2F6 structure. Source: the Alexandria database, functional PBE.

The structure in CIF format:
```
data_KRbBe2F6
_chemical_formula_sum 'K4 Rb4 Be8 F24'
_symmetry_space_group_name_H-M 'C 1 2/c 1'
_symmetry_Int_Tables_number 15
_cell_length_a 10.1379
_cell_length_b 10.9373
_cell_length_c 6.6361
_cell_angle_alpha 90.00
_cell_angle_beta 104.74
_cell_angle_gamma 90.00
loop_
_symmetry_equiv_pos_as_xyz
'x,y,z'
'-x,-y,-z'
'-x,y,-z+1/2'
'x,-y,z+1/2'
'x+1/2,y+1/2,z'
'-x+1/2,-y+1/2,-z'
'-x+1/2,y+1/2,-z+1/2'
'x+1/2,-y+1/2,z+1/2'
loop_
_atom_site_label
_atom_site_type_symbol
_atom_site_fract_x
_atom_site_fract_y
_atom_site_fract_z
K1 K 0.0000 0.1020 0.2500
Rb1 Rb 0.0000 0.3434 0.7500
Be1 Be 0.2361 0.3916 0.2128
F1 F 0.1218 0.1077 0.6558
F2 F 0.1582 0.2760 0.1714
F3 F 0.1790 0.4982 0.5916
```

Summary:
- V (A^3/atom) = 17.79
- E (eV/cell) = -205.84



The lowest V belongs to which entry?
KRb3Be2F8



Repeat the second record exactly.
A geometry-optimized KRbBe2F6 structure. Source: the Alexandria database, functional PBE.

The structure in CIF format:
```
data_KRbBe2F6
_chemical_formula_sum 'K4 Rb4 Be8 F24'
_symmetry_space_group_name_H-M 'C 1 2/c 1'
_symmetry_Int_Tables_number 15
_cell_length_a 10.1379
_cell_length_b 10.9373
_cell_length_c 6.6361
_cell_angle_alpha 90.00
_cell_angle_beta 104.74
_cell_angle_gamma 90.00
loop_
_symmetry_equiv_pos_as_xyz
'x,y,z'
'-x,-y,-z'
'-x,y,-z+1/2'
'x,-y,z+1/2'
'x+1/2,y+1/2,z'
'-x+1/2,-y+1/2,-z'
'-x+1/2,y+1/2,-z+1/2'
'x+1/2,-y+1/2,z+1/2'
loop_
_atom_site_label
_atom_site_type_symbol
_atom_site_fract_x
_atom_site_fract_y
_atom_site_fract_z
K1 K 0.0000 0.1020 0.2500
Rb1 Rb 0.0000 0.3434 0.7500
Be1 Be 0.2361 0.3916 0.2128
F1 F 0.1218 0.1077 0.6558
F2 F 0.1582 0.2760 0.1714
F3 F 0.1790 0.4982 0.5916
```

Summary:
- V (A^3/atom) = 17.79
- E (eV/cell) = -205.84